Entry 1:
! MgMo2Br PBE optimized geometry; values from VASP
&SYSTEM
  ibrav = 0, nat = 4, ntyp = 3
/
ATOMIC_SPECIES
Mo 95.94 Mo.upf
Br 79.90 Br.upf
Mg 24.30 Mg.upf
ATOMIC_POSITIONS angstrom
Mo 1.614 1.614 1.614
Mo 4.841 4.841 4.841
Br 3.227 3.227 3.227
Mg 0.000 0.000 0.000
CELL_PARAMETERS angstrom
0.000 3.227 3.227
3.227 0.000 3.227
3.227 3.227 0.000
! * DOS(E_F): 6.19 states/eV per cell
! * uncorrected formation energy: 450 kJ/mol of formula units

Entry 2:
! MgSn2Se4 PBE optimized geometry; values from VASP
&SYSTEM
  ibrav = 0, nat = 7, ntyp = 3
/
ATOMIC_SPECIES
Se 78.96 Se.upf
Sn 118.71 Sn.upf
Mg 24.30 Mg.upf
ATOMIC_POSITIONS angstrom
Se -1.843 5.280 1.731
Se 0.374 4.583 6.280
Se 1.493 6.984 2.775
Se -2.962 2.879 5.236
Sn -0.981 6.627 4.720
Sn -0.488 3.236 3.290
Mg 0.000 0.000 0.000
CELL_PARAMETERS angstrom
-3.687 1.973 0.175
-0.893 2.157 6.935
3.110 5.733 0.901
! * DOS(E_F): 0.04 states/eV per cell
! * uncorrected formation energy: -384 kJ/mol of formula units

Entry 3:
! Ce5TlIn3 PBE optimized geometry; values from VASP
&SYSTEM
  ibrav = 0, nat = 18, ntyp = 3
/
ATOMIC_SPECIES
Ce 140.12 Ce.upf
In 114.82 In.upf
Tl 204.38 Tl.upf
ATOMIC_POSITIONS angstrom
Ce 2.633 -0.851 5.817
Ce -2.895 -0.965 5.673
Ce -5.859 -1.228 3.410
Ce -0.068 -0.796 3.232
Ce -0.194 -1.020 8.258
Ce -2.672 2.540 4.391
Ce 2.332 2.644 4.522
Ce 2.742 -3.243 3.544
Ce -2.786 -3.357 3.400
Ce -2.594 -4.460 6.967
In -5.463 1.375 5.484
In -5.370 -3.409 5.729
In -3.068 -0.063 2.317
In 5.109 1.594 5.760
In -0.179 1.195 5.926
In -0.082 -3.011 5.563
Tl -0.109 2.392 2.273
Tl 0.000 0.000 0.000
CELL_PARAMETERS angstrom
-0.218 4.784 4.545
-8.314 -3.472 3.256
8.270 -3.128 3.688
! * VASP energy: -85.3 eV per cell
! * DOS(E_F): 47.03 states/eV per cell

Entry 4:
! ZrTaIn PBE optimized geometry; values from VASP
&SYSTEM
  ibrav = 0, nat = 3, ntyp = 3
/
ATOMIC_SPECIES
In 114.82 In.upf
Ta 180.95 Ta.upf
Zr 91.22 Zr.upf
ATOMIC_POSITIONS angstrom
In 0.000 0.000 0.048
Ta 1.575 0.909 2.504
Zr 0.000 1.819 4.920
CELL_PARAMETERS angstrom
3.151 0.000 0.000
-1.575 2.728 0.000
0.000 0.000 7.471
! * VASP energy: -22.8 eV per cell
! * DOS(E_F): 1.89 states/eV per cell

Entry 5:
! SbHRuI2 PBE optimized geometry; values from VASP
&SYSTEM
  ibrav = 0, nat = 5, ntyp = 4
/
ATOMIC_SPECIES
I 126.90 I.upf
Sb 121.76 Sb.upf
Ru 101.07 Ru.upf
H 1.01 H.upf
ATOMIC_POSITIONS angstrom
I 0.000 2.827 0.000
I 2.827 0.000 0.000
Sb 0.000 0.000 2.483
Ru 0.000 0.000 0.000
H 2.827 2.827 2.483
CELL_PARAMETERS angstrom
5.654 0.000 0.000
0.000 5.654 0.000
0.000 0.000 4.966
! * VASP energy: -16.0 eV per cell
! * DOS(E_F): 4.62 states/eV per cell

Entry 6:
! Pm4GaAg3 PBE optimized geometry; values from VASP
&SYSTEM
  ibrav = 0, nat = 8, ntyp = 3
/
ATOMIC_SPECIES
Pm 145.00 Pm.upf
Ga 69.72 Ga.upf
Ag 107.87 Ag.upf
ATOMIC_POSITIONS angstrom
Pm 0.000 0.000 5.651
Pm 0.000 0.000 13.313
Pm 0.000 0.000 9.489
Pm 0.000 0.000 1.826
Ga 1.838 1.838 0.000
Ag 1.838 1.838 11.378
Ag 1.838 1.838 7.570
Ag 1.838 1.838 3.761
CELL_PARAMETERS angstrom
3.677 0.000 0.000
0.000 3.677 0.000
0.000 0.000 15.140
! * VASP energy: -33.3 eV per cell
! * DOS(E_F): 6.44 states/eV per cell

Entry 7:
! In2CoPtAu PBE optimized geometry; values from VASP
&SYSTEM
  ibrav = 0, nat = 5, ntyp = 4
/
ATOMIC_SPECIES
Co 58.93 Co.upf
In 114.82 In.upf
Au 196.97 Au.upf
Pt 195.08 Pt.upf
ATOMIC_POSITIONS angstrom
Co 0.000 2.383 0.000
In 2.562 0.000 0.000
In 0.000 0.000 2.562
Au 2.562 2.383 2.562
Pt 0.000 0.000 0.000
CELL_PARAMETERS angstrom
5.124 0.000 0.000
0.000 4.765 0.000
0.000 0.000 5.124
! * VASP energy: -19.9 eV per cell
! * DOS(E_F): 5.44 states/eV per cell

Entry 8:
! Ga4AgHg2 PBE optimized geometry; values from VASP
&SYSTEM
  ibrav = 0, nat = 7, ntyp = 3
/
ATOMIC_SPECIES
Ga 69.72 Ga.upf
Hg 200.59 Hg.upf
Ag 107.87 Ag.upf
ATOMIC_POSITIONS angstrom
Ga 2.508 0.000 0.000
Ga 0.000 2.508 0.000
Ga 5.015 5.015 2.648
Ga 2.508 2.508 4.592
Hg 5.015 5.015 5.368
Hg 2.508 2.508 1.872
Ag 0.000 0.000 0.000
CELL_PARAMETERS angstrom
5.015 0.000 0.000
0.000 5.015 0.000
2.508 2.508 7.240
! * VASP energy: -13.8 eV per cell
! * DOS(E_F): 3.01 states/eV per cell

Entry 9:
! Sm4Tl PBE optimized geometry; values from VASP
&SYSTEM
  ibrav = 0, nat = 5, ntyp = 2
/
ATOMIC_SPECIES
Tl 204.38 Tl.upf
Sm 150.36 Sm.upf
ATOMIC_POSITIONS angstrom
Tl 2.931 2.931 2.931
Sm 0.000 2.931 2.931
Sm 0.000 0.000 0.000
Sm 2.931 0.000 2.931
Sm 2.931 2.931 0.000
CELL_PARAMETERS angstrom
5.862 0.000 0.000
0.000 5.862 0.000
0.000 0.000 5.862
! * VASP energy: -19.2 eV per cell
! * DOS(E_F): 9.02 states/eV per cell

Entry 10:
! SrInOs2 PBE optimized geometry; values from VASP
&SYSTEM
  ibrav = 0, nat = 4, ntyp = 3
/
ATOMIC_SPECIES
Sr 87.62 Sr.upf
Os 190.23 Os.upf
In 114.82 In.upf
ATOMIC_POSITIONS angstrom
Sr 2.381 0.955 1.515
Os 0.000 3.648 5.614
Os 0.000 2.079 3.475
In 2.381 2.864 4.545
CELL_PARAMETERS angstrom
4.762 0.000 0.000
0.000 2.942 -0.013
0.000 0.876 6.073
! * VASP energy: -23.6 eV per cell
! * DOS(E_F): 5.32 states/eV per cell

Entry 11:
! LiCIO2 PBE optimized geometry; values from VASP
&SYSTEM
  ibrav = 0, nat = 5, ntyp = 4
/
ATOMIC_SPECIES
O 16.00 O.upf
C 12.01 C.upf
Li 6.94 Li.upf
I 126.90 I.upf
ATOMIC_POSITIONS angstrom
O 1.092 -1.109 -0.722
O -1.320 -0.980 -0.490
C 0.000 0.000 0.000
Li -0.034 -3.836 1.764
I 0.194 -1.747 2.976
CELL_PARAMETERS angstrom
-2.639 -1.961 -0.979
2.183 -2.217 -1.444
0.388 -3.495 5.952
! * DOS(E_F): 1.69 states/eV per cell
! * uncorrected formation energy: 349 kJ/mol of formula units

Entry 12:
! Na2Sr3UO6 PBE optimized geometry; values from VASP
&SYSTEM
  ibrav = 0, nat = 12, ntyp = 4
/
ATOMIC_SPECIES
O 16.00 O.upf
Sr 87.62 Sr.upf
Na 22.99 Na.upf
U 238.03 U.upf
ATOMIC_POSITIONS angstrom
O -5.043 -1.685 1.977
O -0.533 0.361 2.227
O -3.457 -0.424 4.477
O -1.838 -3.190 2.775
O -2.119 -0.900 -0.273
O -3.738 1.867 1.430
Sr -4.513 -2.034 -0.618
Sr -1.063 0.710 4.822
Sr -2.788 -0.662 2.102
Na -1.360 -3.306 0.234
Na 0.398 -1.909 3.006
U 0.000 0.000 0.000
CELL_PARAMETERS angstrom
-3.127 -4.711 -2.552
2.165 -0.504 5.792
-4.614 3.891 0.964
! * DOS(E_F): 5.58 states/eV per cell
! * uncorrected formation energy: -2924 kJ/mol of formula units